No. 1
Material: LaSiPt2I
Method: DFT, GGA-PBEsol
State: relaxed

The structure in CIF format:
```
data_LaSiPt2I
_chemical_formula_sum 'La1 Si1 Pt2 I1'
_cell_length_a 5.103
_cell_length_b 5.103
_cell_length_c 5.854
_cell_angle_alpha 90.00
_cell_angle_beta 90.00
_cell_angle_gamma 90.00
_space_group_name_H-M_alt 'P 4/m m m'
_space_group_IT_number 123
_space_group_name_Hall '-P 4 2'
loop_
_atom_site_label
_atom_site_fract_x
_atom_site_fract_y
_atom_site_fract_z
La1 0.000 0.000 0.000
Si1 0.000 0.000 0.500
Pt1 0.000 0.500 0.000
I1 0.500 0.500 0.500
```

Calculated values
- E: -0.1565 Ha/atom
- Uncorrected formation energy: 1.098 eV per atom

=====

No. 2
Material: NiAgCl2
Method: DFT, GGA-PBEsol
State: relaxed

The structure in CIF format:
```
data_NiAgCl2
_chemical_formula_sum 'Ni2 Ag2 Cl4'
_cell_length_a 3.240
_cell_length_b 6.064
_cell_length_c 7.404
_cell_angle_alpha 90.00
_cell_angle_beta 90.00
_cell_angle_gamma 90.00
_space_group_name_H-M_alt 'C m m m'
_space_group_IT_number 65
_space_group_name_Hall '-C 2 2'
loop_
_atom_site_label
_atom_site_fract_x
_atom_site_fract_y
_atom_site_fract_z
Ni1 0.000 0.000 0.000
Ag1 0.000 0.000 0.500
Cl1 0.000 0.500 0.214
```

Calculated values
- E: -0.1269 Ha/atom
- Uncorrected formation energy: -0.081 eV per atom
- Relative energy among the computed polymorphs: 8.1 kJ/mol of formula units

=====

No. 3
Material: LiYRu2
Method: DFT, GGA-PBEsol
State: relaxed

The structure in CIF format:
```
data_LiYRu2
_chemical_formula_sum 'Li1 Y1 Ru2'
_cell_length_a 3.204
_cell_length_b 3.204
_cell_length_c 6.330
_cell_angle_alpha 90.00
_cell_angle_beta 90.00
_cell_angle_gamma 90.00
_space_group_name_H-M_alt 'P 4 m m'
_space_group_IT_number 99
loop_
_space_group_symop_operation_xyz
'x,y,z'
'-y,x,z'
'-x,-y,z'
'y,-x,z'
'-x,y,z'
'y,x,z'
'x,-y,z'
'-y,-x,z'
loop_
_atom_site_label
_atom_site_fract_x
_atom_site_fract_y
_atom_site_fract_z
Li1 0.000 0.000 0.000
Y1 0.500 0.500 0.689
Ru1 0.000 0.000 0.407
Ru2 0.500 0.500 0.196
```

Calculated values
- DFT formation energy: 242 meV/atom
- E: -0.2588 Ha/atom
- Relative energy among the computed polymorphs: 0.0 kJ/mol of formula units